{
  "formula": "HfFeP2S",
  "functional": "GGA-PBE",
  "state": "optimized geometry",
  "formation_energy_uncorrected_ev_per_atom": 0.56,
  "cell": [[4.9779, 0.0000, 0.0000], [0.0000, 4.9779, 0.0000], [0.0000, 0.0000, 4.8320]],
  "species": ["Hf", "Fe", "P", "P", "S"],
  "frac_coords": [[0.0000, 0.0000, 0.0000], [0.5000, 0.5000, 0.5000], [0.0000, 0.5000, 0.0000], [0.5000, 0.0000, 0.0000], [0.0000, 0.0000, 0.5000]]
}